MnPd2Pt4, optimized geometry, DFT PBE; E_form = 0.1 eV/f.u.; DFT total energy = -6.231 eV/atom; SG = Cmcm, No. 63
1.0
-0.673 2.378 -1.203
1.990 -3.574 -5.037
-11.962 -4.252 -1.709
Pt Pd Mn
8 4 2
Cartesian
-0.168 -0.683 -4.396
-6.309 -3.283 -2.957
-6.318 -0.937 -1.456
-8.860 -3.350 -1.663
-1.786 -2.097 -6.286
-4.337 -2.165 -4.992
-0.337 1.189 -0.602
-10.478 -4.765 -3.553
-9.481 -4.223 -6.182
-6.731 -3.246 -5.789
-3.915 -2.201 -2.160
-1.165 -1.224 -1.767
-8.642 -2.961 -4.156
-2.004 -2.487 -3.793